A plane-wave DFT calculation with GGA-PBE was carried out for a geometry-optimized BaRhPb2 structure.

## Properties
* E_tot: -4.21 eV per atom
* space-group type: I-42d
* DFT formation energy: -0.041 eV/atom

Geometry as extended XYZ:
```
16
Lattice="5.689 0.000 0.000 0.000 5.689 0.000 0.000 0.000 17.929" Properties=species:S:1:pos:R:3 pbc="T T T"
Ba 0.000 0.000 0.000
Ba 0.000 2.844 4.482
Ba 2.844 0.000 13.447
Ba 2.844 2.844 8.965
Rh 0.000 0.000 8.965
Rh 0.000 2.844 13.447
Rh 2.844 0.000 4.482
Rh 2.844 2.844 0.000
Pb 0.497 1.422 11.206
Pb 1.422 3.342 15.688
Pb 1.422 5.191 6.724
Pb 2.347 1.422 2.241
Pb 3.342 4.267 2.241
Pb 4.267 0.497 6.724
Pb 4.267 2.347 15.688
Pb 5.191 4.267 11.206
```

A plane-wave DFT calculation with GGA-PBE was carried out for a geometry-optimized Tm8MgSc6 structure.

## Properties
* E_tot: -4.84 eV per atom
* space-group type: R-3
* DFT formation energy: 0.188 eV/atom

Geometry as extended XYZ:
```
15
Lattice="4.596 2.654 5.755 -4.596 2.654 5.755 0.000 -5.307 5.755" Properties=species:S:1:pos:R:3 pbc="T T T"
Tm 0.000 0.000 1.578
Tm -0.656 -1.951 5.551
Tm -1.362 1.543 5.551
Tm -2.017 -0.408 11.715
Tm 2.017 0.408 5.551
Tm 1.362 -1.543 11.715
Tm 0.656 1.951 11.715
Tm 0.000 0.000 15.688
Mg 0.000 0.000 8.633
Sc -2.010 -2.425 8.340
Sc -3.105 0.528 8.926
Sc 1.095 -2.953 8.926
Sc -1.095 2.953 8.340
Sc 3.105 -0.528 8.340
Sc 2.010 2.425 8.926
```

A plane-wave DFT calculation with GGA-PBE was carried out for a geometry-optimized Ho6Sb3H structure.

## Properties
* E_tot: -4.94 eV per atom
* space-group type: Cmc2_1

Geometry as extended XYZ:
```
20
Lattice="5.740 -7.450 0.000 5.740 7.450 0.000 0.000 0.000 6.204" Properties=species:S:1:pos:R:3 pbc="T T T"
Ho 5.740 6.229 3.102
Ho 3.677 3.372 4.389
Ho 3.536 0.748 0.924
Ho 5.740 3.403 1.351
Ho 3.536 -0.748 4.026
Ho 7.802 3.372 4.389
Ho 3.677 -3.372 1.287
Ho 7.943 0.748 0.924
Ho 5.740 -3.403 4.453
Ho 7.943 -0.748 4.026
Ho 7.802 -3.372 1.287
Ho 5.740 -6.229 0.000
Sb 1.599 1.532 3.112
Sb 1.599 -1.532 0.009
Sb 5.740 1.269 5.107
Sb 5.740 -1.269 2.004
Sb 9.881 1.532 3.112
Sb 9.881 -1.532 0.009
H 5.740 4.076 3.490
H 5.740 -4.076 0.388
```

A plane-wave DFT calculation with GGA-PBE was carried out for a geometry-optimized LaCr2Co structure.

## Properties
* E_tot: -7.04 eV per atom
* space-group type: Fm-3m
* energy above the most stable polymorph in this dataset: 1.890 eV/f.u.
* DFT formation energy: 0.778 eV/atom

Geometry as extended XYZ:
```
16
Lattice="6.190 0.000 0.000 0.000 6.190 0.000 0.000 0.000 6.190" Properties=species:S:1:pos:R:3 pbc="T T T"
La 0.000 0.000 0.000
La 0.000 3.095 3.095
La 3.095 0.000 3.095
La 3.095 3.095 0.000
Cr 1.547 1.547 1.547
Cr 1.547 1.547 4.642
Cr 1.547 4.642 1.547
Cr 1.547 4.642 4.642
Cr 4.642 1.547 1.547
Cr 4.642 1.547 4.642
Cr 4.642 4.642 1.547
Cr 4.642 4.642 4.642
Co 0.000 0.000 3.095
Co 0.000 3.095 0.000
Co 3.095 0.000 0.000
Co 3.095 3.095 3.095
```

A plane-wave DFT calculation with GGA-PBE was carried out for a geometry-optimized GaSiNiOs structure.

## Properties
* E_tot: -6.59 eV per atom
* space-group type: R3m
* energy above the most stable polymorph in this dataset: 0.170 eV/f.u.

Geometry as extended XYZ:
```
12
Lattice="2.905 0.000 0.000 -1.453 2.516 0.000 0.000 0.000 22.253" Properties=species:S:1:pos:R:3 pbc="T T T"
Ga 0.000 0.000 0.000
Ga 0.000 1.677 14.835
Ga 1.453 0.839 7.418
Si 0.000 0.000 18.425
Si 0.000 1.677 11.007
Si 1.453 0.839 3.590
Ni 0.000 0.000 9.389
Ni 0.000 1.677 1.972
Ni 1.453 0.839 16.807
Os 0.000 0.000 12.770
Os 0.000 1.677 5.352
Os 1.453 0.839 20.187
```

A plane-wave DFT calculation with GGA-PBE was carried out for a geometry-optimized Ba2NaSrCa structure.

## Properties
* E_tot: -1.61 eV per atom
* space-group type: Cmcm
* DFT formation energy: 0.155 eV/atom

Geometry as extended XYZ:
```
10
Lattice="2.071 -11.634 0.000 2.071 11.634 0.000 0.000 0.000 12.033" Properties=species:S:1:pos:R:3 pbc="T T T"
Ba 2.071 8.059 6.652
Ba 2.071 8.059 11.398
Ba 2.071 -8.059 0.636
Ba 2.071 -8.059 5.381
Na 2.071 0.000 0.000
Na 2.071 0.000 6.017
Sr 2.071 2.017 9.025
Sr 2.071 -2.017 3.008
Ca 2.071 6.256 3.008
Ca 2.071 -6.256 9.025
```

A plane-wave DFT calculation with GGA-PBE was carried out for a geometry-optimized Tb3ErTm2Bi6 structure.

## Properties
* E_tot: -5.06 eV per atom
* space-group type: C2/m
* DFT formation energy: -0.836 eV/atom

Geometry as extended XYZ:
```
12
Lattice="9.721 -2.231 0.000 9.721 2.231 0.000 -2.032 0.000 8.688" Properties=species:S:1:pos:R:3 pbc="T T T"
Tb 0.000 0.000 0.000
Tb 5.129 0.000 5.794
Tb 12.280 0.000 2.894
Er -1.016 0.000 4.344
Tm 6.141 0.000 1.449
Tm 11.268 0.000 7.239
Bi 2.037 0.000 5.090
Bi 3.096 0.000 0.702
Bi 9.188 0.000 2.186
Bi 8.221 0.000 6.501
Bi 14.313 0.000 7.986
Bi 15.372 0.000 3.598
```

A plane-wave DFT calculation with GGA-PBE was carried out for a geometry-optimized PrY3TmTh structure.

## Properties
* E_tot: -5.98 eV per atom
* space-group type: P2_1/m
* DFT formation energy: 0.030 eV/atom

Geometry as extended XYZ:
```
12
Lattice="8.018 0.000 0.000 0.000 5.087 0.000 -3.284 0.000 9.606" Properties=species:S:1:pos:R:3 pbc="T T T"
Pr 0.415 1.272 2.816
Pr 4.320 3.815 6.790
Y -0.410 3.815 5.225
Y 1.268 3.815 0.419
Y -1.185 1.272 7.621
Y 5.920 3.815 1.985
Y 3.467 1.272 9.187
Y 5.144 1.272 4.380
Tm 1.940 1.272 6.030
Tm 2.795 3.815 3.575
Th 1.118 3.815 8.433
Th 3.617 1.272 1.172
```

A plane-wave DFT calculation with GGA-PBE was carried out for a geometry-optimized LaFeCo2Re structure.

## Properties
* E_tot: -6.69 eV per atom
* space-group type: P4/mmm
* DFT formation energy: 1.316 eV/atom

Geometry as extended XYZ:
```
5
Lattice="4.359 0.000 0.000 0.000 4.359 0.000 0.000 0.000 4.818" Properties=species:S:1:pos:R:3 pbc="T T T"
La 0.000 0.000 0.000
Fe 0.000 0.000 2.409
Co 0.000 2.180 2.409
Co 2.180 0.000 2.409
Re 2.180 2.180 0.000
```

A plane-wave DFT calculation with GGA-PBE was carried out for a geometry-optimized Tl2Ag3Cl6 structure.

## Properties
* E_tot: -2.81 eV per atom
* space-group type: P-62m

Geometry as extended XYZ:
```
11
Lattice="8.233 0.000 0.000 -4.116 7.130 0.000 0.000 0.000 5.087" Properties=species:S:1:pos:R:3 pbc="T T T"
Tl 0.000 4.753 0.000
Tl 4.116 2.377 0.000
Ag -0.930 1.610 2.544
Ag 1.859 0.000 2.544
Ag 3.187 5.520 2.544
Cl -1.058 1.833 0.000
Cl -2.612 4.523 2.544
Cl 2.116 0.000 0.000
Cl 1.505 2.606 2.544
Cl 5.223 0.000 2.544
Cl 3.058 5.297 0.000
```

A plane-wave DFT calculation with GGA-PBE was carried out for a geometry-optimized Th2ZrTi structure.

## Properties
* E_tot: -7.64 eV per atom
* space-group type: P4/mmm
* energy above the most stable polymorph in this dataset: 0.000 eV/f.u.
* DFT formation energy: 0.178 eV/atom

Geometry as extended XYZ:
```
4
Lattice="3.679 0.000 0.000 0.000 3.679 0.000 0.000 0.000 7.673" Properties=species:S:1:pos:R:3 pbc="T T T"
Th 0.000 0.000 1.816
Th 0.000 0.000 5.857
Zr 1.839 1.839 3.837
Ti 1.839 1.839 0.000
```

A plane-wave DFT calculation with GGA-PBE was carried out for a geometry-optimized YCdAs2Se structure.

## Properties
* E_tot: -3.88 eV per atom
* space-group type: P4/mmm
* energy above the most stable polymorph in this dataset: 0.000 eV/f.u.

Geometry as extended XYZ:
```
5
Lattice="5.486 0.000 0.000 0.000 5.486 0.000 0.000 0.000 5.388" Properties=species:S:1:pos:R:3 pbc="T T T"
Y 0.000 0.000 0.000
Cd 2.743 2.743 2.694
As 0.000 2.743 0.000
As 2.743 0.000 0.000
Se 0.000 0.000 2.694
```

A plane-wave DFT calculation with GGA-PBE was carried out for a geometry-optimized MgZr2CuPt5 structure.

## Properties
* E_tot: -6.29 eV per atom
* space-group type: I4/mcm
* DFT formation energy: -0.402 eV/atom

Geometry as extended XYZ:
```
18
Lattice="-3.990 3.990 5.260 3.990 -3.990 5.260 3.990 3.990 -5.260" Properties=species:S:1:pos:R:3 pbc="T T T"
Mg 0.000 0.000 2.630
Mg 0.000 0.000 7.890
Zr 4.997 1.007 0.000
Zr 1.007 2.982 0.000
Zr 2.982 1.007 5.260
Zr -1.007 2.982 5.260
Cu 3.990 0.000 2.630
Cu 0.000 3.990 2.630
Pt 0.000 0.000 0.000
Pt 2.489 1.501 -1.433
Pt 2.489 -1.501 3.827
Pt 2.489 1.501 1.433
Pt 2.489 -1.501 6.693
Pt 0.000 0.000 5.260
Pt 1.501 5.490 -1.433
Pt 1.501 2.489 3.827
Pt 1.501 5.490 1.433
Pt 1.501 2.489 6.693
```

A plane-wave DFT calculation with GGA-PBE was carried out for a geometry-optimized DyHoTe2O8 structure.

## Properties
* E_tot: -6.55 eV per atom
* space-group type: I-4m2

Geometry as extended XYZ:
```
12
Lattice="-3.672 3.672 3.426 3.672 -3.672 3.426 3.672 3.672 -3.426" Properties=species:S:1:pos:R:3 pbc="T T T"
Dy 0.000 0.000 0.000
Ho 0.000 3.672 1.713
Te 3.672 0.000 1.713
Te 0.000 0.000 3.426
O 2.311 0.000 0.323
O 5.033 0.000 0.323
O 3.672 2.302 -1.389
O 3.672 -1.361 3.103
O 0.000 1.370 2.037
O 3.672 1.361 3.103
O 2.302 3.672 1.389
O 1.370 0.000 4.816
```

A plane-wave DFT calculation with GGA-PBE was carried out for a geometry-optimized RbBeCo2Pb structure.

## Properties
* E_tot: -2.01 eV per atom
* space-group type: P4/mmm
* DFT formation energy: 2.514 eV/atom

Geometry as extended XYZ:
```
5
Lattice="4.695 0.000 0.000 0.000 4.695 0.000 0.000 0.000 6.137" Properties=species:S:1:pos:R:3 pbc="T T T"
Rb 0.000 0.000 0.000
Be 2.348 2.348 3.069
Co 0.000 2.348 0.000
Co 2.348 0.000 0.000
Pb 0.000 0.000 3.069
```

A plane-wave DFT calculation with GGA-PBE was carried out for a geometry-optimized Sc2ReP structure.

## Properties
* E_tot: -8.08 eV per atom
* space-group type: Imm2
* DFT formation energy: -0.452 eV/atom

Geometry as extended XYZ:
```
8
Lattice="3.248 0.000 0.000 0.000 4.360 0.000 0.000 0.000 10.254" Properties=species:S:1:pos:R:3 pbc="T T T"
Sc 0.000 0.000 0.000
Sc 0.000 2.180 2.354
Sc 1.624 0.000 7.481
Sc 1.624 2.180 5.127
Re 0.000 2.180 7.667
Re 1.624 0.000 2.540
P 0.000 0.000 4.318
P 1.624 2.180 9.445
```

A plane-wave DFT calculation with GGA-PBE was carried out for a geometry-optimized LiHg6 structure.

## Properties
* E_tot: -0.61 eV per atom
* space-group type: P4/mmm
* energy above the most stable polymorph in this dataset: 0.000 eV/f.u.
* DFT formation energy: -0.078 eV/atom

Geometry as extended XYZ:
```
7
Lattice="4.525 0.000 0.000 0.000 4.525 0.000 0.000 0.000 8.681" Properties=species:S:1:pos:R:3 pbc="T T T"
Li 0.000 0.000 0.000
Hg 0.000 0.000 4.341
Hg 0.000 2.263 2.218
Hg 0.000 2.263 6.463
Hg 2.263 0.000 2.218
Hg 2.263 0.000 6.463
Hg 2.263 2.263 0.000
```

A plane-wave DFT calculation with GGA-PBE was carried out for a geometry-optimized TbEr2Tm structure.

## Properties
* E_tot: -4.53 eV per atom
* space-group type: P4/mmm
* energy above the most stable polymorph in this dataset: 0.090 eV/f.u.
* DFT formation energy: 0.024 eV/atom

Geometry as extended XYZ:
```
4
Lattice="3.506 0.000 0.000 0.000 3.506 0.000 0.000 0.000 9.933" Properties=species:S:1:pos:R:3 pbc="T T T"
Tb 0.000 0.000 0.000
Er 1.753 1.753 2.507
Er 1.753 1.753 7.426
Tm 0.000 0.000 4.966
```

A plane-wave DFT calculation with GGA-PBE was carried out for a geometry-optimized LaZr2Pb2 structure.

## Properties
* E_tot: -6.16 eV per atom
* space-group type: I4/mmm
* energy above the most stable polymorph in this dataset: 0.000 eV/f.u.
* DFT formation energy: -0.272 eV/atom

Geometry as extended XYZ:
```
10
Lattice="4.463 0.000 0.000 0.000 4.463 0.000 0.000 0.000 14.110" Properties=species:S:1:pos:R:3 pbc="T T T"
La 0.000 0.000 0.000
La 2.232 2.232 7.055
Zr 0.000 2.232 3.528
Zr 0.000 2.232 10.583
Zr 2.232 0.000 3.528
Zr 2.232 0.000 10.583
Pb 0.000 0.000 5.564
Pb 0.000 0.000 8.546
Pb 2.232 2.232 1.491
Pb 2.232 2.232 12.619
```

A plane-wave DFT calculation with GGA-PBE was carried out for a geometry-optimized RbGa2HgPd structure.

## Properties
* E_tot: -2.68 eV per atom
* space-group type: P4/mmm
* DFT formation energy: -0.181 eV/atom

Geometry as extended XYZ:
```
5
Lattice="4.965 0.000 0.000 0.000 4.965 0.000 0.000 0.000 5.493" Properties=species:S:1:pos:R:3 pbc="T T T"
Rb 0.000 0.000 0.000
Ga 0.000 2.483 2.746
Ga 2.483 0.000 2.746
Hg 2.483 2.483 0.000
Pd 2.483 2.483 2.746
```

A plane-wave DFT calculation with GGA-PBE was carried out for a geometry-optimized SmEr5Ir6 structure.

## Properties
* E_tot: -7.56 eV per atom
* space-group type: Cmmm
* DFT formation energy: -0.837 eV/atom

Geometry as extended XYZ:
```
12
Lattice="2.357 -7.082 0.000 2.357 7.082 0.000 0.000 0.000 7.142" Properties=species:S:1:pos:R:3 pbc="T T T"
Sm 0.000 0.000 0.000
Er 0.000 0.000 3.571
Er 2.357 2.374 0.000
Er 2.357 2.364 3.571
Er 2.357 -2.364 3.571
Er 2.357 -2.374 0.000
Ir 2.357 4.697 1.804
Ir 2.357 4.697 5.338
Ir 2.357 0.000 1.828
Ir 2.357 0.000 5.314
Ir 2.357 -4.697 1.804
Ir 2.357 -4.697 5.338
```

A plane-wave DFT calculation with GGA-PBE was carried out for a geometry-optimized Tm6BiTe3 structure.

## Properties
* E_tot: -4.83 eV per atom
* space-group type: P2_1/m

Geometry as extended XYZ:
```
20
Lattice="12.144 0.000 0.000 0.000 4.062 0.000 -3.301 0.000 11.954" Properties=species:S:1:pos:R:3 pbc="T T T"
Tm -0.995 1.015 4.215
Tm -1.947 1.015 10.522
Tm 2.000 3.046 3.603
Tm 0.906 3.046 9.209
Tm 2.755 1.015 6.524
Tm 5.242 3.046 1.541
Tm 3.601 1.015 10.412
Tm 6.089 3.046 5.430
Tm 7.937 1.015 2.745
Tm 6.843 1.015 8.351
Tm 10.791 3.046 1.432
Tm 9.839 3.046 7.739
Bi 4.394 1.015 3.782
Bi 4.449 3.046 8.172
Te 0.888 1.015 1.653
Te 0.384 3.046 6.174
Te 0.869 1.015 11.555
Te 7.974 3.046 0.399
Te 8.459 1.015 5.780
Te 7.955 3.046 10.301
```

A plane-wave DFT calculation with GGA-PBE was carried out for a geometry-optimized SrGaN structure.

## Properties
* E_tot: -4.80 eV per atom
* space-group type: Pnma

Geometry as extended XYZ:
```
12
Lattice="6.184 0.000 0.000 0.000 4.421 0.000 0.000 0.000 7.782" Properties=species:S:1:pos:R:3 pbc="T T T"
Sr 0.744 1.105 1.152
Sr 2.348 3.315 5.043
Sr 3.836 1.105 2.739
Sr 5.439 3.315 6.631
Ga 0.070 3.315 3.128
Ga 3.022 1.105 7.019
Ga 3.161 3.315 0.764
Ga 6.114 1.105 4.655
N 1.017 1.105 6.326
N 2.075 3.315 2.435
N 4.109 1.105 5.347
N 5.167 3.315 1.456
```